No. 1
The following is a DFT calculation (PBE) of a geometry-optimized Nd3ScSe4 structure.

a b c (Å): 4.0961 7.2245 7.2245
angles (deg): 108.81 90.00 90.00
Fractional positions:
Nd  0.0000  0.0000  0.5000
Nd  0.5000  0.5000  0.5000
Nd  0.0000  0.5000  0.0000
Sc  0.5000  0.0000  0.0000
Se  0.0000  0.2302  0.2302
Se  0.5000  0.7602  0.2398
Se  0.0000  0.7698  0.7698
Se  0.5000  0.2398  0.7602

***

No. 2
The following is a DFT calculation (PBE) of a geometry-optimized InBi3O structure.

a b c (Å): 5.7285 5.7285 5.7285
angles (deg): 90.00 90.00 90.00
Fractional positions:
Bi  0.0000  0.5000  0.0000
Bi  0.0000  0.0000  0.5000
Bi  0.5000  0.0000  0.0000
O  0.5000  0.5000  0.5000
In  0.0000  0.0000  0.0000

E above lowest polymorph = 1.254 eV/atom

***

No. 3
The following is a DFT calculation (PBE) of a geometry-optimized CoHgTe structure.

a b c (Å): 6.8374 6.8373 3.1506
angles (deg): 76.68 76.68 26.64
Last column: magnetic moment on the atom in μB.
Fractional positions:
Co  0.0175  0.0175  0.9825  0.61
Hg  0.3632  0.3632  0.6368  0.02
Te  0.6193  0.6193  0.3807  -0.01

E above lowest polymorph = 0.315 eV/atom

***

Number 1: total moment 0.000 μB per atom, total DFT energy (no corrections) -48.549 eV for the cell shown. Number 2: total moment 0.000 μB per atom, total DFT energy (no corrections) -13.535 eV for the cell shown. Number 3: total moment 0.210 μB per atom, total DFT energy (no corrections) -9.773 eV for the cell shown.